First-principles (PBE-GGA) data for a geometry-optimized ZnGeSb2 structure, as listed in OQMD via LeMat-Bulk.

abc: 5.0962 5.0962 5.0962
angles: 60.00 60.00 60.00
Fractional positions:
Zn 0.0000 0.0000 0.0000
Ge 0.7500 0.7500 0.7500
Sb 0.2500 0.2500 0.2500
Sb 0.5000 0.5000 0.5000



First-principles (PBE-GGA) data for a geometry-optimized ZrGeSb structure, as listed in OQMD via LeMat-Bulk.

Output
Size of the total moment   0.03 Bohr magnetons per cell

abc: 4.7267 4.7267 4.7267
angles: 60.00 60.00 60.00
Fractional positions:
Zr 0.0000 0.0000 0.0000
Ge 0.7500 0.7500 0.7500
Sb 0.5000 0.5000 0.5000



DFT total energy (computed, eV/cell): -12.9, -16.9